[1]
Below is crystalline ThNpPa2 at its relaxed geometry, with properties calculated at the PBE level.

Cell: 3.3758 3.3758 8.9269 Å, 90.00 90.00 90.00°
With the nearest neighbours (Å) after each atom.
Fractional coordinates of all 4 atoms:
Th (0.0000, 0.0000, 0.0000)  4 Th 3.38, 8 Pa 3.40
Np (0.0000, 0.0000, 0.5000)  8 Pa 3.14, 4 Np 3.38
Pa (0.5000, 0.5000, 0.2718)  4 Np 3.14, 4 Pa 3.38, 4 Th 3.40
Pa (0.5000, 0.5000, 0.7282)  4 Np 3.14, 4 Pa 3.38, 4 Th 3.40

Summary:
Excess energy over the best structure of this formula in the dataset = 0 meV/atom
Crystal system = tetragonal
DOS(E_F) = 8.13 states/eV/cell

[2]
Below is crystalline ThNpPa2 at its relaxed geometry, with properties calculated at the PBE level.

Cell: 3.5540 3.5540 29.9212 Å, 90.00 90.00 120.00°
With the nearest neighbours (Å) after each atom.
Fractional coordinates of all 12 atoms:
Th (0.0000, 0.0000, 0.0000)  2 Pa 3.31, 6 Th 3.55
Th (0.3333, 0.6667, 0.6667)  2 Pa 3.31, 6 Th 3.55
Th (0.6667, 0.3333, 0.3333)  2 Pa 3.31, 6 Th 3.55
Np (0.0000, 0.0000, 0.5000)  6 Pa 2.65
Np (0.3333, 0.6667, 0.1667)  6 Pa 2.65
Np (0.6667, 0.3333, 0.8333)  6 Pa 2.65
Pa (0.0000, 0.0000, 0.1105)  3 Np 2.65
Pa (0.0000, 0.0000, 0.8895)  3 Np 2.65
Pa (0.3333, 0.6667, 0.5562)  3 Np 2.65
Pa (0.3333, 0.6667, 0.7771)  3 Np 2.65
Pa (0.6667, 0.3333, 0.2229)  3 Np 2.65
Pa (0.6667, 0.3333, 0.4438)  3 Np 2.65

Summary:
Excess energy over the best structure of this formula in the dataset = 417 meV/atom
Crystal system = trigonal
DOS(E_F) = 20.89 states/eV/cell

[3]
Below is crystalline NpPa2V at its relaxed geometry, with properties calculated at the PBE level.

Cell: 3.5523 3.5523 24.5759 Å, 90.00 90.00 120.00°
With the nearest neighbours (Å) after each atom.
Fractional coordinates of all 12 atoms:
Np (0.0000, 0.0000, 0.0000)  6 Pa 2.65
Np (0.3333, 0.6667, 0.6667)  6 Pa 2.65
Np (0.6667, 0.3333, 0.3333)  6 Pa 2.65
Pa (0.0000, 0.0000, 0.4014)  1 V 2.42, 3 Np 2.65
Pa (0.0000, 0.0000, 0.5986)  1 V 2.42, 3 Np 2.65
Pa (0.3333, 0.6667, 0.0681)  1 V 2.42, 3 Np 2.65
Pa (0.3333, 0.6667, 0.2652)  1 V 2.42, 3 Np 2.65
Pa (0.6667, 0.3333, 0.7348)  1 V 2.42, 3 Np 2.65
Pa (0.6667, 0.3333, 0.9319)  1 V 2.42, 3 Np 2.65
V (0.0000, 0.0000, 0.5000)  2 Pa 2.42
V (0.3333, 0.6667, 0.1667)  2 Pa 2.42
V (0.6667, 0.3333, 0.8333)  2 Pa 2.42

Summary:
Crystal system = trigonal
DOS(E_F) = 19.81 states/eV/cell

[4]
Below is crystalline Np2PaV at its relaxed geometry, with properties calculated at the PBE level.

Cell: 3.3913 3.3913 6.9391 Å, 90.00 90.00 90.00°
With the nearest neighbours (Å) after each atom.
Fractional coordinates of all 4 atoms:
Np (0.0000, 0.0000, 0.2227)  4 V 2.85, 4 Pa 3.07, 1 Np 3.09
Np (0.0000, 0.0000, 0.7773)  4 V 2.85, 4 Pa 3.07, 1 Np 3.09
Pa (0.5000, 0.5000, 0.5000)  8 Np 3.07, 4 Pa 3.39
V (0.5000, 0.5000, 0.0000)  8 Np 2.85

Summary:
Crystal system = tetragonal
DOS(E_F) = 9.50 states/eV/cell

[5]
Below is crystalline NpPa2W at its relaxed geometry, with properties calculated at the PBE level.

Cell: 2.9719 2.9719 33.0135 Å, 90.00 90.00 120.00°
With the nearest neighbours (Å) after each atom.
Fractional coordinates of all 12 atoms:
Np (0.0000, 0.0000, 0.0000)  2 Pa 2.87, 6 Np 2.97
Np (0.3333, 0.6667, 0.6667)  2 Pa 2.87, 6 Np 2.97
Np (0.6667, 0.3333, 0.3333)  2 Pa 2.87, 6 Np 2.97
Pa (0.0000, 0.0000, 0.0870)  1 Np 2.87, 6 Pa 2.97, 3 W 3.14
Pa (0.0000, 0.0000, 0.9130)  1 Np 2.87, 6 Pa 2.97, 3 W 3.14
Pa (0.3333, 0.6667, 0.5796)  1 Np 2.87, 6 Pa 2.97, 3 W 3.14
Pa (0.3333, 0.6667, 0.7537)  1 Np 2.87, 6 Pa 2.97, 3 W 3.14
Pa (0.6667, 0.3333, 0.2463)  1 Np 2.87, 6 Pa 2.97, 3 W 3.14
Pa (0.6667, 0.3333, 0.4204)  1 Np 2.87, 6 Pa 2.97, 3 W 3.14
W (0.0000, 0.0000, 0.5000)  6 W 2.97, 6 Pa 3.14
W (0.3333, 0.6667, 0.1667)  6 W 2.97, 6 Pa 3.14
W (0.6667, 0.3333, 0.8333)  6 W 2.97, 6 Pa 3.14

Summary:
Crystal system = trigonal
DOS(E_F) = 26.00 states/eV/cell

[6]
Below is crystalline YNpPa at its relaxed geometry, with properties calculated at the PBE level.

Cell: 6.3134 5.3461 9.2985 Å, 90.00 90.00 90.00°
With the nearest neighbours (Å) after each atom.
Fractional coordinates of all 12 atoms:
Y (0.0693, 0.2500, 0.1814)  5 Np 3.27-3.34, 2 Y 3.41, 4 Pa 3.47-3.61
Y (0.4307, 0.7500, 0.6814)  5 Np 3.27-3.34, 2 Y 3.41, 4 Pa 3.47-3.61
Y (0.5693, 0.2500, 0.3186)  5 Np 3.27-3.34, 2 Y 3.41, 4 Pa 3.47-3.61
Y (0.9307, 0.7500, 0.8186)  5 Np 3.27-3.34, 2 Y 3.41, 4 Pa 3.47-3.61
Np (0.2291, 0.2500, 0.8472)  2 Pa 2.64-2.71
Np (0.2709, 0.7500, 0.3472)  2 Pa 2.64-2.71
Np (0.7291, 0.2500, 0.6528)  2 Pa 2.64-2.71
Np (0.7709, 0.7500, 0.1528)  2 Pa 2.64-2.71
Pa (0.1264, 0.2500, 0.5639)  2 Np 2.64-2.71
Pa (0.3736, 0.7500, 0.0639)  2 Np 2.64-2.71
Pa (0.6264, 0.2500, 0.9361)  2 Np 2.64-2.71
Pa (0.8736, 0.7500, 0.4361)  2 Np 2.64-2.71

Summary:
Crystal system = orthorhombic
DOS(E_F) = 34.30 states/eV/cell

[7]
Below is crystalline NpPaZn17 at its relaxed geometry, with properties calculated at the PBE level.

Cell: 6.7937 6.7937 6.7937 Å, 82.69 82.69 82.69°
With the nearest neighbours (Å) after each atom.
Fractional coordinates of all 19 atoms:
Np (0.0000, 0.0000, 0.0000)  19 Zn 3.12-3.44
Pa (0.3247, 0.3247, 0.3247)  19 Zn 3.12-3.44
Zn (0.0158, 0.0158, 0.5016)  8 Zn 2.55-2.76
Zn (0.0158, 0.5016, 0.0158)  8 Zn 2.55-2.76
Zn (0.1625, 0.6624, 0.6624)  10 Zn 2.58-2.73
Zn (0.3095, 0.3095, 0.8222)  8 Zn 2.55-2.77
Zn (0.3095, 0.8222, 0.3095)  8 Zn 2.55-2.77
Zn (0.3661, 0.6625, 0.9587)  8 Zn 2.58-2.77
Zn (0.3661, 0.9587, 0.6625)  8 Zn 2.58-2.77
Zn (0.5016, 0.0158, 0.0158)  8 Zn 2.55-2.76
Zn (0.5611, 0.5611, 0.5611)  13 Zn 2.66-2.98
Zn (0.6624, 0.1625, 0.6624)  10 Zn 2.58-2.73
Zn (0.6625, 0.3661, 0.9587)  8 Zn 2.58-2.77
Zn (0.6624, 0.6624, 0.1625)  10 Zn 2.58-2.73
Zn (0.6625, 0.9587, 0.3661)  8 Zn 2.58-2.77
Zn (0.7631, 0.7631, 0.7631)  13 Zn 2.66-2.97
Zn (0.8222, 0.3095, 0.3095)  8 Zn 2.55-2.77
Zn (0.9587, 0.3661, 0.6625)  8 Zn 2.58-2.77
Zn (0.9587, 0.6625, 0.3661)  8 Zn 2.58-2.77

Summary:
Crystal system = trigonal
DOS(E_F) = 16.53 states/eV/cell

[8]
Below is crystalline NpPb2 at its relaxed geometry, with properties calculated at the PBE level.

Cell: 4.7037 4.7111 7.9208 Å, 90.00 90.10 90.00°
With the nearest neighbours (Å) after each atom.
Fractional coordinates of all 6 atoms:
Np (0.0000, 0.0000, 0.0000)  4 Np 3.33, 8 Pb 3.37-3.38
Np (0.5000, 0.5000, 0.0000)  4 Np 3.33, 8 Pb 3.37-3.38
Pb (0.0017, 0.5000, 0.3058)  5 Pb 3.08-3.33, 4 Np 3.37-3.38
Pb (0.4983, 0.0000, 0.6942)  5 Pb 3.08-3.33, 4 Np 3.37-3.38
Pb (0.5017, 0.0000, 0.3058)  5 Pb 3.08-3.33, 4 Np 3.37-3.38
Pb (0.9983, 0.5000, 0.6942)  5 Pb 3.08-3.33, 4 Np 3.37-3.38

Summary:
Crystal system = monoclinic
DOS(E_F) = 9.54 states/eV/cell

[9]
Below is crystalline NpPb5 at its relaxed geometry, with properties calculated at the PBE level.

Cell: 4.8933 15.5323 4.7061 Å, 90.00 90.00 90.00°
With the nearest neighbours (Å) after each atom.
Fractional coordinates of all 12 atoms:
Np (0.0000, 0.0000, 0.0000)  12 Pb 3.39-3.50
Np (0.5000, 0.5000, 0.0000)  12 Pb 3.39-3.50
Pb (0.0000, 0.1666, 0.5000)  10 Pb 3.40-3.60, 2 Np 3.50
Pb (0.0000, 0.3417, 0.0000)  10 Pb 3.40-3.76, 2 Np 3.47
Pb (0.0000, 0.5000, 0.5000)  4 Np 3.39, 8 Pb 3.40-3.56
Pb (0.0000, 0.6583, 0.0000)  10 Pb 3.40-3.76, 2 Np 3.47
Pb (0.0000, 0.8334, 0.5000)  10 Pb 3.40-3.60, 2 Np 3.50
Pb (0.5000, 0.0000, 0.5000)  4 Np 3.39, 8 Pb 3.40-3.56
Pb (0.5000, 0.1583, 0.0000)  10 Pb 3.40-3.76, 2 Np 3.47
Pb (0.5000, 0.3334, 0.5000)  10 Pb 3.40-3.60, 2 Np 3.50
Pb (0.5000, 0.6666, 0.5000)  10 Pb 3.40-3.60, 2 Np 3.50
Pb (0.5000, 0.8417, 0.0000)  10 Pb 3.40-3.76, 2 Np 3.47

Summary:
Crystal system = orthorhombic
DOS(E_F) = 26.84 states/eV/cell

[10]
Below is crystalline NpPb6 at its relaxed geometry, with properties calculated at the PBE level.

Cell: 8.5412 8.5412 8.5412 Å, 90.00 90.00 90.00°
With the nearest neighbours (Å) after each atom.
Fractional coordinates of all 14 atoms:
Np (0.0000, 0.0000, 0.0000)  24 Pb 4.77
Np (0.5000, 0.5000, 0.5000)  24 Pb 4.77
Pb (0.0000, 0.2500, 0.5000)  4 Pb 3.02
Pb (0.0000, 0.5000, 0.2500)  4 Pb 3.02
Pb (0.0000, 0.5000, 0.7500)  4 Pb 3.02
Pb (0.0000, 0.7500, 0.5000)  4 Pb 3.02
Pb (0.2500, 0.0000, 0.5000)  4 Pb 3.02
Pb (0.2500, 0.5000, 0.0000)  4 Pb 3.02
Pb (0.5000, 0.0000, 0.2500)  4 Pb 3.02
Pb (0.5000, 0.0000, 0.7500)  4 Pb 3.02
Pb (0.5000, 0.2500, 0.0000)  4 Pb 3.02
Pb (0.5000, 0.7500, 0.0000)  4 Pb 3.02
Pb (0.7500, 0.0000, 0.5000)  4 Pb 3.02
Pb (0.7500, 0.5000, 0.0000)  4 Pb 3.02

Summary:
Crystal system = cubic
DOS(E_F) = 34.73 states/eV/cell

[11]
Below is crystalline NpPd12Pb3 at its relaxed geometry, with properties calculated at the PBE level.

Cell: 4.1154 4.1154 16.4877 Å, 90.00 90.00 90.00°
With the nearest neighbours (Å) after each atom.
Fractional coordinates of all 16 atoms:
Np (0.0000, 0.0000, 0.0000)  12 Pd 2.89-2.91
Pd (0.0000, 0.5000, 0.1231)  8 Pd 2.89-2.94, 2 Np 2.89, 2 Pb 2.96
Pd (0.0000, 0.5000, 0.3755)  4 Pb 2.89-2.91, 8 Pd 2.91
Pd (0.0000, 0.5000, 0.6245)  4 Pb 2.89-2.91, 8 Pd 2.91
Pd (0.0000, 0.5000, 0.8769)  8 Pd 2.89-2.94, 2 Np 2.89, 2 Pb 2.96
Pd (0.5000, 0.0000, 0.1231)  8 Pd 2.89-2.94, 2 Np 2.89, 2 Pb 2.96
Pd (0.5000, 0.0000, 0.3755)  4 Pb 2.89-2.91, 8 Pd 2.91
Pd (0.5000, 0.0000, 0.6245)  4 Pb 2.89-2.91, 8 Pd 2.91
Pd (0.5000, 0.0000, 0.8769)  8 Pd 2.89-2.94, 2 Np 2.89, 2 Pb 2.96
Pd (0.5000, 0.5000, 0.0000)  8 Pd 2.89, 4 Np 2.91
Pd (0.5000, 0.5000, 0.2505)  4 Pb 2.91, 8 Pd 2.91-2.94
Pd (0.5000, 0.5000, 0.5000)  8 Pd 2.91, 4 Pb 2.91
Pd (0.5000, 0.5000, 0.7495)  4 Pb 2.91, 8 Pd 2.91-2.94
Pb (0.0000, 0.0000, 0.2522)  12 Pd 2.89-2.96
Pb (0.0000, 0.0000, 0.5000)  12 Pd 2.91
Pb (0.0000, 0.0000, 0.7478)  12 Pd 2.89-2.96

Summary:
Crystal system = tetragonal
DOS(E_F) = 14.94 states/eV/cell

[12]
Below is crystalline NpPd2Pb at its relaxed geometry, with properties calculated at the PBE level.

Cell: 3.4764 3.4764 7.1169 Å, 90.00 90.00 90.00°
With the nearest neighbours (Å) after each atom.
Fractional coordinates of all 4 atoms:
Np (0.0000, 0.0000, 0.0000)  8 Pd 2.98
Pd (0.5000, 0.5000, 0.2373)  4 Np 2.98, 4 Pb 3.09
Pd (0.5000, 0.5000, 0.7627)  4 Np 2.98, 4 Pb 3.09
Pb (0.0000, 0.0000, 0.5000)  8 Pd 3.09

Summary:
Crystal system = tetragonal
DOS(E_F) = 12.55 states/eV/cell

no.,formation energy (eV per atom)
1,0.20
2,0.61
3,0.91
4,0.40
5,0.51
6,0.35
7,-0.08
8,0.22
9,0.15
10,0.81
11,-0.33
12,-0.11